[1]
This record from Alexandria describes a geometry-optimized CaTa2Rh structure. The functional is PBE-GGA.

Cell lengths 5.4240, 10.0677, 2.9025 Å; angles 90.00, 109.12, 90.00 degrees
Closest atoms and distances in Å follow each position.
Fractional coordinates of all 8 atoms:
Ca1 0.0000 0.0000 0.0000  2 Rh 2.71, 2 Ca 2.90, 4 Ta 3.00
Ca2 0.5000 0.5000 0.0000  2 Rh 2.71, 2 Ca 2.90, 4 Ta 3.00
Ta1 0.2500 0.2500 0.5000  4 Ta 2.71-2.90, 2 Ca 3.00, 2 Rh 3.00
Ta2 0.2500 0.7500 0.5000  4 Ta 2.71-2.90, 2 Ca 3.00, 2 Rh 3.00
Ta3 0.7500 0.2500 0.5000  4 Ta 2.71-2.90, 2 Ca 3.00, 2 Rh 3.00
Ta4 0.7500 0.7500 0.5000  4 Ta 2.71-2.90, 2 Ca 3.00, 2 Rh 3.00
Rh1 0.0000 0.5000 0.0000  2 Ca 2.71, 2 Rh 2.90, 4 Ta 3.00
Rh2 0.5000 0.0000 0.0000  2 Ca 2.71, 2 Rh 2.90, 4 Ta 3.00

Summary:
**D(E_F)**: 1.0028 states/eV per atom
**E_form**: 0.3056 eV per atom
**SG**: No. 12

---

[2]
This record from Alexandria describes a geometry-optimized Ca2TaRh structure. The functional is PBE-GGA.

Cell lengths 3.3418, 4.7730, 10.8835 Å; angles 90.00, 90.00, 90.00 degrees
Closest atoms and distances in Å follow each position.
Fractional coordinates of all 8 atoms:
Ca1 0.0000 0.0000 0.2074  2 Rh 2.81, 4 Ca 3.06
Ca2 0.0000 0.0000 0.7926  2 Rh 2.81, 4 Ca 3.06
Ca3 0.5000 0.5000 0.2926  2 Rh 2.81, 4 Ca 3.06
Ca4 0.5000 0.5000 0.7074  2 Rh 2.81, 4 Ca 3.06
Ta1 0.0000 0.5000 0.0000  4 Rh 2.91
Ta2 0.5000 0.0000 0.5000  4 Rh 2.91
Rh1 0.0000 0.5000 0.5000  4 Ca 2.81, 4 Ta 2.91
Rh2 0.5000 0.0000 0.0000  4 Ca 2.81, 4 Ta 2.91

Summary:
**D(E_F)**: 0.7429 states/eV per atom
**E_form**: 0.3170 eV per atom
**SG**: No. 71